(1)
VASP calculation (PBE) on crystalline LaNd3H at its relaxed geometry.

For the final energy, the calculation gives -4.69 eV/atom.

Cell: 5.203 5.203 5.203 Å, 90.00 90.00 90.00°
Fractional positions:
1 La 0.000 0.000 0.000
2 Nd 0.000 0.500 0.500
3 Nd 0.500 0.000 0.500
4 Nd 0.500 0.500 0.000
5 H 0.500 0.500 0.500

(2)
VASP calculation (PBE) on crystalline Re5Rh4 at its relaxed geometry.

The value obtained for the formation energy is -0.063 eV/atom. For the energy above the most stable polymorph in this dataset, the calculation gives 0.0 meV/atom. For the final energy, the calculation gives -10.25 eV/atom.

Cell: 6.129 6.129 6.129 Å, 95.76 95.76 143.05°
Fractional positions:
1 Re 0.000 0.000 0.000
2 Re 0.333 0.333 0.666
3 Re 0.333 0.667 0.000
4 Re 0.667 0.333 0.000
5 Re 0.667 0.667 0.334
6 Rh 0.000 0.328 0.328
7 Rh 0.000 0.672 0.672
8 Rh 0.328 0.000 0.328
9 Rh 0.672 0.000 0.672

(3)
VASP calculation (PBE) on crystalline Pr6As2P3Pb at its relaxed geometry.

The value obtained for the formation energy is -1.299 eV/atom. For the final energy, the calculation gives -6.13 eV/atom.

Cell: 9.614 9.614 8.692 Å, 103.37 103.37 25.62°
Fractional positions:
1 Pr 0.001 0.001 0.228
2 Pr 0.325 0.325 0.415
3 Pr 0.333 0.333 0.914
4 Pr 0.667 0.667 0.086
5 Pr 0.675 0.675 0.585
6 Pr 0.999 0.999 0.772
7 As 0.167 0.167 0.834
8 As 0.833 0.833 0.166
9 P 0.166 0.166 0.333
10 P 0.500 0.500 0.000
11 P 0.834 0.834 0.667
12 Pb 0.500 0.500 0.500

(4)
VASP calculation (PBE) on crystalline TbThHgPd at its relaxed geometry.

The value obtained for the formation energy is -0.480 eV/atom. For the final energy, the calculation gives -4.87 eV/atom.

Cell: 5.219 5.219 5.219 Å, 60.00 60.00 60.00°
Fractional positions:
1 Tb 0.000 0.000 0.000
2 Th 0.500 0.500 0.500
3 Hg 0.750 0.750 0.750
4 Pd 0.250 0.250 0.250

(5)
VASP calculation (PBE) on crystalline PmHoGaRh at its relaxed geometry.

The value obtained for the formation energy is -0.623 eV/atom. For the energy above the most stable polymorph in this dataset, the calculation gives 82.1 meV/atom. For the final energy, the calculation gives -5.55 eV/atom.

Cell: 5.019 5.019 5.019 Å, 60.00 60.00 60.00°
Fractional positions:
1 Pm 0.000 0.000 0.000
2 Ho 0.500 0.500 0.500
3 Ga 0.750 0.750 0.750
4 Rh 0.250 0.250 0.250

(6)
VASP calculation (PBE) on crystalline Tb2PaTc at its relaxed geometry.

The value obtained for the formation energy is -0.165 eV/atom. For the energy above the most stable polymorph in this dataset, the calculation gives 0.0 meV/atom. For the final energy, the calculation gives -7.45 eV/atom.

Cell: 7.099 9.701 6.299 Å, 90.00 90.00 90.00°
Fractional positions:
1 Tb 0.175 0.063 0.172
2 Tb 0.175 0.437 0.172
3 Tb 0.325 0.563 0.672
4 Tb 0.325 0.937 0.672
5 Tb 0.675 0.063 0.328
6 Tb 0.675 0.437 0.328
7 Tb 0.825 0.563 0.828
8 Tb 0.825 0.937 0.828
9 Pa 0.052 0.250 0.662
10 Pa 0.448 0.750 0.162
11 Pa 0.552 0.250 0.838
12 Pa 0.948 0.750 0.338
13 Tc 0.137 0.750 0.001
14 Tc 0.363 0.250 0.501
15 Tc 0.637 0.750 0.499
16 Tc 0.863 0.250 0.999

| no. | theoretical density (g/cm3) |
| --- | --- |
| 1 | 6.8 |
| 2 | 17.0 |
| 3 | 6.4 |
| 4 | 11.5 |
| 5 | 9.0 |
| 6 | 9.9 |